1.
# MnTl2MoF (GGA+U, optimized geometry)
data_MnTl2MoF
_cell_length_a 5.3929
_cell_length_b 5.3929
_cell_length_c 4.9639
_cell_angle_alpha 90.00
_cell_angle_beta 90.00
_cell_angle_gamma 90.00
_symmetry_space_group_name_H-M 'P 1'
_symmetry_Int_Tables_number 1
_symmetry_space_group_name_Hall 'P 1'
loop_
_atom_site_label
_atom_site_type_symbol
_atom_site_fract_x
_atom_site_fract_y
_atom_site_fract_z
_atom_site_occupancy
Mn1 Mn 0.0000 0.0000 0.0000 1
Tl1 Tl 0.0000 0.5000 0.0000 1
Tl2 Tl 0.5000 0.0000 0.0000 1
Mo1 Mo 0.0000 0.0000 0.5000 1
F1 F 0.5000 0.5000 0.5000 1
# DOS(E_F) (states/eV/f.u.): 2.0
# Magnetic moment (μB/atom): 1.1043
# DFT total energy (eV/cell): -17.01


2.
# CoP2WO (GGA+U, optimized geometry)
data_CoP2WO
_cell_length_a 4.8866
_cell_length_b 4.8866
_cell_length_c 3.7919
_cell_angle_alpha 90.00
_cell_angle_beta 90.00
_cell_angle_gamma 90.00
_symmetry_space_group_name_H-M 'P 1'
_symmetry_Int_Tables_number 1
_symmetry_space_group_name_Hall 'P 1'
loop_
_atom_site_label
_atom_site_type_symbol
_atom_site_fract_x
_atom_site_fract_y
_atom_site_fract_z
_atom_site_occupancy
Co1 Co 0.0000 0.0000 0.0000 1
P1 P 0.0000 0.5000 0.5000 1
P2 P 0.5000 0.0000 0.5000 1
W1 W 0.5000 0.5000 0.5000 1
O1 O 0.5000 0.5000 0.0000 1
# DOS(E_F) (states/eV/f.u.): 0.7
# Magnetic moment (μB/atom): 0.6291
# DFT total energy (eV/cell): -26.98


The highest magnetic moment belongs to which entry? MnTl2MoF